A relaxed structure of KCrNiO4, computed with GGA+U.

The value obtained for the raw total energy is -5.77 eV/atom. For the total moment, the calculation gives 1.000 μB/f.u.

The structure belongs to space group P2_1/m (No. 11); the cell edges are 4.923, 5.768 and 7.593 Å and the angles 90.00°, 103.87° and 90.00°. The distinct sites, in fractional coordinates, are K at (0.192, 0.250, 0.124), Cr at (0.383, 0.250, 0.704), Ni at (0.122, 0.750, 0.514), O at (0.130, 0.022, 0.682), O at (0.387, 0.750, 0.096) and O at (0.488, 0.250, 0.507).